1.
# Tm4ThRu5, relaxed, DFT PBE-GGA
data_Tm4ThRu5
_cell_length_a 3.4112
_cell_length_b 3.4112
_cell_length_c 16.8679
_cell_angle_alpha 90.00
_cell_angle_beta 90.00
_cell_angle_gamma 90.00
_symmetry_space_group_name_H-M 'P 1'
_symmetry_Int_Tables_number 1
loop_
_symmetry_equiv_pos_as_xyz
'x,y,z'
loop_
_atom_site_label
_atom_site_type_symbol
_atom_site_fract_x
_atom_site_fract_y
_atom_site_fract_z
_atom_site_occupancy
Tm1 Tm 0.0000 0.0000 0.4020 1
Tm2 Tm 0.0000 0.0000 0.7928 1
Tm3 Tm 0.0000 0.0000 0.2072 1
Ru1 Ru 0.5000 0.5000 0.9017 1
Ru2 Ru 0.5000 0.5000 0.0983 1
Ru3 Ru 0.5000 0.5000 0.5000 1
Th1 Th 0.0000 0.0000 0.0000 1
Tm4 Tm 0.0000 0.0000 0.5980 1
Ru4 Ru 0.5000 0.5000 0.3016 1
Ru5 Ru 0.5000 0.5000 0.6984 1
# Energy of formation, meV/atom: -437.4
# DOS(E_F), states/eV/f.u.: 7.98
# Total moment, μB/cell: 0.0



2.
# Nd2TmNpSb4, relaxed, DFT PBE-GGA
data_Nd2TmNpSb4
_cell_length_a 4.4470
_cell_length_b 7.6966
_cell_length_c 7.7037
_cell_angle_alpha 109.34
_cell_angle_beta 90.00
_cell_angle_gamma 90.00
_symmetry_space_group_name_H-M 'P 1'
_symmetry_Int_Tables_number 1
loop_
_symmetry_equiv_pos_as_xyz
'x,y,z'
loop_
_atom_site_label
_atom_site_type_symbol
_atom_site_fract_x
_atom_site_fract_y
_atom_site_fract_z
_atom_site_occupancy
Sb1 Sb 0.0000 0.2550 0.7618 1
Sb2 Sb 0.0000 0.7450 0.2382 1
Sb3 Sb 0.5000 0.7515 0.7600 1
Tm1 Tm 0.5000 0.5000 0.0000 1
Nd1 Nd 0.5000 0.0000 0.5000 1
Sb4 Sb 0.5000 0.2485 0.2400 1
Nd2 Nd 0.0000 0.5000 0.5000 1
Np1 Np 0.0000 0.0000 0.0000 1
# DOS(E_F), states/eV/f.u.: 11.84
# Calculated total energy, eV per atom: -6.33
# Total moment, μB/cell: 3.9



3.
# LiHfP2Ru, relaxed, DFT PBE-GGA
data_LiHfP2Ru
_cell_length_a 4.9857
_cell_length_b 4.8543
_cell_length_c 4.9857
_cell_angle_alpha 90.00
_cell_angle_beta 90.00
_cell_angle_gamma 90.00
_symmetry_space_group_name_H-M 'P 1'
_symmetry_Int_Tables_number 1
loop_
_symmetry_equiv_pos_as_xyz
'x,y,z'
loop_
_atom_site_label
_atom_site_type_symbol
_atom_site_fract_x
_atom_site_fract_y
_atom_site_fract_z
_atom_site_occupancy
P1 P 0.0000 0.0000 0.5000 1
Ru1 Ru 0.0000 0.5000 0.0000 1
P2 P 0.5000 0.0000 0.0000 1
Li1 Li 0.5000 0.5000 0.5000 1
Hf1 Hf 0.0000 0.0000 0.0000 1
# Energy of formation, meV/atom: 633.3
# DOS(E_F), states/eV/f.u.: 4.47
# Total moment, μB/cell: 1.0



4.
# Ta4ReRu, relaxed, DFT PBE-GGA
data_Ta4ReRu
_cell_length_a 4.3688
_cell_length_b 4.3684
_cell_length_c 6.2333
_cell_angle_alpha 89.98
_cell_angle_beta 89.98
_cell_angle_gamma 90.00
_symmetry_space_group_name_H-M 'P 1'
_symmetry_Int_Tables_number 1
loop_
_symmetry_equiv_pos_as_xyz
'x,y,z'
loop_
_atom_site_label
_atom_site_type_symbol
_atom_site_fract_x
_atom_site_fract_y
_atom_site_fract_z
_atom_site_occupancy
Ta1 Ta 0.5013 0.9974 0.7481 1
Ta2 Ta 0.5013 0.9971 0.2482 1
Ru1 Ru 0.0013 0.9973 0.4981 1
Re1 Re 0.5013 0.4973 0.9981 1
Ta3 Ta 0.0012 0.4972 0.2482 1
Ta4 Ta 0.0014 0.4973 0.7481 1
# Energy of formation, meV/atom: 225.6
# Energy relative to the lowest polymorph listed for this composition, meV per atom: 565
# DOS(E_F), states/eV/f.u.: 4.09
# Total moment, μB/cell: 0.0



5.
# Hg3AsSe2, relaxed, DFT PBE-GGA
data_Hg3AsSe2
_cell_length_a 6.3083
_cell_length_b 8.0604
_cell_length_c 8.0604
_cell_angle_alpha 57.57
_cell_angle_beta 90.00
_cell_angle_gamma 90.00
_symmetry_space_group_name_H-M 'P 1'
_symmetry_Int_Tables_number 1
loop_
_symmetry_equiv_pos_as_xyz
'x,y,z'
loop_
_atom_site_label
_atom_site_type_symbol
_atom_site_fract_x
_atom_site_fract_y
_atom_site_fract_z
_atom_site_occupancy
Se1 Se 0.3575 0.8738 0.3748 1
Hg1 Hg 0.0252 0.6550 0.6550 1
Se2 Se 0.8575 0.6252 0.1262 1
As1 As 0.2108 0.2048 0.2048 1
As2 As 0.7108 0.7952 0.7952 1
Se3 Se 0.3575 0.3748 0.8738 1
Hg2 Hg 0.8084 0.2723 0.9068 1
Hg3 Hg 0.3084 0.0932 0.7277 1
Hg4 Hg 0.3084 0.7277 0.0932 1
Se4 Se 0.8575 0.1262 0.6252 1
Hg5 Hg 0.5252 0.3450 0.3450 1
Hg6 Hg 0.8084 0.9068 0.2723 1
# DOS(E_F), states/eV/f.u.: 2.14
# Calculated total energy, eV per atom: -2.06
# Total moment, μB/cell: 0.0



6.
# YScF2, relaxed, DFT PBE-GGA
data_YScF2
_cell_length_a 4.4892
_cell_length_b 4.4892
_cell_length_c 4.4892
_cell_angle_alpha 60.00
_cell_angle_beta 60.00
_cell_angle_gamma 60.00
_symmetry_space_group_name_H-M 'P 1'
_symmetry_Int_Tables_number 1
loop_
_symmetry_equiv_pos_as_xyz
'x,y,z'
loop_
_atom_site_label
_atom_site_type_symbol
_atom_site_fract_x
_atom_site_fract_y
_atom_site_fract_z
_atom_site_occupancy
F1 F 0.2500 0.2500 0.2500 1
F2 F 0.7500 0.7500 0.7500 1
Sc1 Sc 0.0000 0.0000 0.0000 1
Y1 Y 0.5000 0.5000 0.5000 1
# Energy relative to the lowest polymorph listed for this composition, meV per atom: 987
# DOS(E_F), states/eV/f.u.: 3.73
# Total moment, μB/cell: 0.0



7.
# Na2ZnSbO4, relaxed, DFT PBE-GGA
data_Na2ZnSbO4
_cell_length_a 5.7874
_cell_length_b 5.7874
_cell_length_c 5.7874
_cell_angle_alpha 81.06
_cell_angle_beta 125.29
_cell_angle_gamma 125.29
_symmetry_space_group_name_H-M 'P 1'
_symmetry_Int_Tables_number 1
loop_
_symmetry_equiv_pos_as_xyz
'x,y,z'
loop_
_atom_site_label
_atom_site_type_symbol
_atom_site_fract_x
_atom_site_fract_y
_atom_site_fract_z
_atom_site_occupancy
Sb1 Sb 0.5000 0.2500 0.7500 1
Na1 Na 0.5000 0.7500 0.2500 1
O1 O 0.0600 0.1822 0.6290 1
O2 O 0.4469 0.8779 0.8178 1
O3 O 0.9400 0.5690 0.1221 1
Zn1 Zn 0.0000 0.5000 0.5000 1
O4 O 0.5531 0.3710 0.4310 1
Na2 Na 0.0000 0.0000 0.0000 1
# DOS(E_F), states/eV/f.u.: 2.26
# Calculated total energy, eV per atom: -4.92
# Total moment, μB/cell: 0.0



8.
# AgIN2Cl, relaxed, DFT PBE-GGA
data_AgIN2Cl
_cell_length_a 4.1897
_cell_length_b 4.1897
_cell_length_c 7.0483
_cell_angle_alpha 90.00
_cell_angle_beta 90.00
_cell_angle_gamma 90.00
_symmetry_space_group_name_H-M 'P 1'
_symmetry_Int_Tables_number 1
loop_
_symmetry_equiv_pos_as_xyz
'x,y,z'
loop_
_atom_site_label
_atom_site_type_symbol
_atom_site_fract_x
_atom_site_fract_y
_atom_site_fract_z
_atom_site_occupancy
I1 I 0.0000 0.0000 0.5000 1
Ag1 Ag 0.0000 0.0000 0.0000 1
N1 N 0.0000 0.5000 0.0000 1
N2 N 0.5000 0.0000 0.0000 1
Cl1 Cl 0.5000 0.5000 0.5000 1
# Energy relative to the lowest polymorph listed for this composition, meV per atom: 0
# DOS(E_F), states/eV/f.u.: 2.18
# Total moment, μB/cell: 4.0



9.
# TmTi2Os, relaxed, DFT PBE-GGA
data_TmTi2Os
_cell_length_a 3.1385
_cell_length_b 3.1385
_cell_length_c 7.5626
_cell_angle_alpha 90.00
_cell_angle_beta 90.00
_cell_angle_gamma 90.00
_symmetry_space_group_name_H-M 'P 1'
_symmetry_Int_Tables_number 1
loop_
_symmetry_equiv_pos_as_xyz
'x,y,z'
loop_
_atom_site_label
_atom_site_type_symbol
_atom_site_fract_x
_atom_site_fract_y
_atom_site_fract_z
_atom_site_occupancy
Ti1 Ti 0.0000 0.0000 0.8045 1
Os1 Os 0.5000 0.5000 0.0000 1
Tm1 Tm 0.5000 0.5000 0.5000 1
Ti2 Ti 0.0000 0.0000 0.1955 1
# Energy of formation, meV/atom: -160.8
# DOS(E_F), states/eV/f.u.: 6.69
# Total moment, μB/cell: 0.0



10.
# LaSmCuAu, relaxed, DFT PBE-GGA
data_LaSmCuAu
_cell_length_a 5.2056
_cell_length_b 5.2056
_cell_length_c 5.2056
_cell_angle_alpha 60.00
_cell_angle_beta 60.00
_cell_angle_gamma 60.00
_symmetry_space_group_name_H-M 'P 1'
_symmetry_Int_Tables_number 1
loop_
_symmetry_equiv_pos_as_xyz
'x,y,z'
loop_
_atom_site_label
_atom_site_type_symbol
_atom_site_fract_x
_atom_site_fract_y
_atom_site_fract_z
_atom_site_occupancy
Au1 Au 0.7500 0.7500 0.7500 1
Cu1 Cu 0.2500 0.2500 0.2500 1
La1 La 0.5000 0.5000 0.5000 1
Sm1 Sm 0.0000 0.0000 0.0000 1
# Energy of formation, meV/atom: -454.5
# Energy relative to the lowest polymorph listed for this composition, meV per atom: 40
# DOS(E_F), states/eV/f.u.: 3.68
# Total moment, μB/cell: 0.0



11.
# AcSmP2Pt2, relaxed, DFT PBE-GGA
data_AcSmP2Pt2
_cell_length_a 4.2258
_cell_length_b 4.2258
_cell_length_c 8.3113
_cell_angle_alpha 90.00
_cell_angle_beta 90.00
_cell_angle_gamma 120.00
_symmetry_space_group_name_H-M 'P 1'
_symmetry_Int_Tables_number 1
loop_
_symmetry_equiv_pos_as_xyz
'x,y,z'
loop_
_atom_site_label
_atom_site_type_symbol
_atom_site_fract_x
_atom_site_fract_y
_atom_site_fract_z
_atom_site_occupancy
Ac1 Ac 0.0000 0.0000 0.0000 1
Pt1 Pt 0.3333 0.6667 0.7365 1
Pt2 Pt 0.6667 0.3333 0.2635 1
Sm1 Sm 0.0000 0.0000 0.5000 1
P1 P 0.3333 0.6667 0.2654 1
P2 P 0.6667 0.3333 0.7346 1
# Energy of formation, meV/atom: -1333.5
# DOS(E_F), states/eV/f.u.: 1.84
# Total moment, μB/cell: 0.0



12.
# Mn2ZnCl8, relaxed, DFT PBE-GGA
data_Mn2ZnCl8
_cell_length_a 3.2381
_cell_length_b 9.5925
_cell_length_c 9.8652
_cell_angle_alpha 97.11
_cell_angle_beta 99.71
_cell_angle_gamma 89.71
_symmetry_space_group_name_H-M 'P 1'
_symmetry_Int_Tables_number 1
loop_
_symmetry_equiv_pos_as_xyz
'x,y,z'
loop_
_atom_site_label
_atom_site_type_symbol
_atom_site_fract_x
_atom_site_fract_y
_atom_site_fract_z
_atom_site_occupancy
Mn1 Mn 0.8230 0.2762 0.6691 1
Cl1 Cl 0.2298 0.2966 0.4885 1
Cl2 Cl 0.6104 0.5803 0.1965 1
Zn1 Zn 0.5000 0.0000 0.0000 1
Cl3 Cl 0.0356 0.1680 0.0746 1
Cl4 Cl 0.7702 0.7034 0.5115 1
Mn2 Mn 0.1770 0.7238 0.3309 1
Cl5 Cl 0.3896 0.4197 0.8035 1
Cl6 Cl 0.6501 0.9096 0.2857 1
Cl7 Cl 0.3499 0.0904 0.7143 1
Cl8 Cl 0.9644 0.8320 0.9254 1
# DOS(E_F), states/eV/f.u.: 7.65
# Calculated total energy, eV per atom: -3.97
# Total moment, μB/cell: 8.1